NiH4I2O8 after structural relaxation. Source: the Alexandria database, functional PBE+U.

Cell and atoms, written as POSCAR:
```
NiH4I2O8
1.0
-2.425 4.351 -4.742
-5.478 -6.609 -3.262
-8.869 3.519 7.763
O H I Ni
32 16 8 4
Cartesian
-11.353 -2.525 0.316
-4.930 -4.792 -2.466
-12.525 -1.161 -2.036
-14.819 0.544 -0.082
-11.750 3.257 2.195
-5.539 2.582 -3.051
-7.902 -1.396 -3.948
-3.116 0.173 -2.644
-7.077 -3.418 -1.238
-4.247 2.420 1.794
-5.022 -1.997 -2.436
-8.914 -2.488 1.684
-11.237 1.097 4.154
-7.100 2.476 1.506
-8.488 1.073 -2.835
-9.837 2.235 -0.504
-7.858 3.748 -1.925
-2.847 3.559 -2.863
-8.870 2.656 3.706
-13.656 1.087 2.403
-8.284 0.187 2.593
-9.672 -1.216 -1.748
-6.935 -0.975 0.263
-1.953 0.716 -0.159
-11.842 6.052 2.225
-5.419 3.785 -0.557
-12.058 0.699 0.100
-11.233 -1.323 2.810
-9.695 4.678 0.997
-4.714 0.561 -0.341
-13.925 -2.299 2.622
-5.535 0.163 -4.395
-7.994 5.150 1.199
-6.409 -0.275 -4.251
-13.003 -1.948 2.573
-10.668 1.729 -0.305
-4.310 1.729 1.092
-9.822 3.014 0.104
-6.104 -0.469 0.064
-8.778 -3.890 -1.440
-5.540 1.001 -3.862
-11.232 0.259 3.621
-10.363 1.535 4.010
-8.214 -2.420 -5.366
-8.558 3.680 5.125
-12.462 -0.469 -1.333
-3.769 3.208 -2.814
-6.950 -1.754 -0.345
-6.114 -3.426 -2.795
-3.236 -0.370 -0.893
-9.362 -0.444 -3.385
-10.658 4.686 2.554
-6.484 2.613 -1.483
-10.288 -1.353 1.241
-7.410 1.704 3.144
-13.536 1.630 0.652
-5.647 3.935 1.511
-3.952 -1.129 -4.002
-7.174 -1.545 2.250
0.000 0.000 0.000
```

The calculation puts the total energy at -279.462 eV for the cell shown. The density of states at the Fermi level comes out at 0.00 states/eV/cell.